(1)
Entry from the Alexandria database: a relaxed TmI3O9 crystal (PBE).

Values from the calculation:
Its density of states at the Fermi level is 0.00 states/eV per cell. The calculation puts the calculated total energy at -0.3762 Ry/atom. The value obtained for the density is 5.65 g/cm³. As for the spin magnetization: 0.00 Bohr magnetons per cell.

POSCAR file:
```
TmI3O9
1.0
7.139 0.000 0.079
0.000 8.610 0.000
-2.353 0.000 13.230
Tm I O
4 12 36
direct
0.166 0.762 0.145
0.834 0.238 0.855
0.834 0.262 0.355
0.166 0.738 0.645
0.163 0.303 0.110
0.837 0.697 0.890
0.837 0.803 0.390
0.163 0.197 0.610
0.262 0.532 0.387
0.738 0.468 0.613
0.738 0.032 0.113
0.262 0.968 0.887
0.664 0.551 0.147
0.336 0.449 0.853
0.336 0.051 0.353
0.664 0.949 0.647
0.141 0.485 0.179
0.859 0.515 0.821
0.859 0.985 0.321
0.141 0.015 0.679
0.157 0.206 0.322
0.843 0.794 0.678
0.843 0.706 0.178
0.157 0.294 0.822
0.029 0.833 0.496
0.971 0.167 0.504
0.971 0.333 0.004
0.029 0.667 0.996
0.460 0.677 0.146
0.540 0.323 0.854
0.540 0.177 0.354
0.460 0.823 0.646
0.210 0.720 0.321
0.790 0.280 0.679
0.790 0.220 0.179
0.210 0.780 0.821
0.338 0.972 0.226
0.662 0.028 0.774
0.662 0.472 0.274
0.338 0.528 0.726
0.370 0.344 0.050
0.630 0.656 0.950
0.630 0.844 0.450
0.370 0.156 0.550
0.015 0.476 0.388
0.985 0.524 0.612
0.985 0.976 0.112
0.015 0.024 0.888
0.320 0.910 0.018
0.680 0.090 0.982
0.680 0.410 0.482
0.320 0.590 0.518
```

(2)
Entry from the Alexandria database: a relaxed TmI2O6 crystal (PBE).

Values from the calculation:
Its density of states at the Fermi level is 7.01 states/eV per cell. The calculation puts the calculated total energy at -0.3835 Ry/atom. The value obtained for the density is 5.44 g/cm³. As for the spin magnetization: 1.09 Bohr magnetons per cell.

POSCAR file:
```
TmI2O6
1.0
-1.766 -5.302 1.806
3.579 -4.072 -5.213
4.535 -0.580 5.972
Tm I O
2 4 12
direct
0.250 0.085 0.915
0.750 0.915 0.085
0.290 0.555 0.810
0.210 0.190 0.445
0.710 0.445 0.190
0.790 0.810 0.555
0.536 0.712 0.487
0.964 0.513 0.288
0.464 0.288 0.513
0.036 0.487 0.712
0.841 0.933 0.363
0.659 0.637 0.067
0.159 0.067 0.637
0.341 0.363 0.933
0.110 0.820 0.920
0.390 0.080 0.180
0.890 0.180 0.080
0.610 0.920 0.820
```

(3)
Entry from the Alexandria database: a relaxed Tm2IO3 crystal (PBE).

Values from the calculation:
Its density of states at the Fermi level is 0.00 states/eV per cell. The calculation puts the calculated total energy at -0.5184 Ry/atom. The value obtained for the density is 8.01 g/cm³. As for the spin magnetization: 0.00 Bohr magnetons per cell.

POSCAR file:
```
Tm2IO3
1.0
3.811 0.000 0.000
-1.905 6.231 -0.185
0.000 -3.243 9.048
Tm I O
4 2 6
direct
0.510 0.020 0.748
0.490 0.980 0.252
0.842 0.685 0.439
0.158 0.315 0.561
0.869 0.739 0.909
0.131 0.261 0.091
0.340 0.680 0.578
0.008 0.016 0.645
0.679 0.357 0.722
0.321 0.643 0.278
0.992 0.984 0.355
0.660 0.320 0.422
```

(4)
Entry from the Alexandria database: a relaxed Tm2IO6 crystal (PBE).

Values from the calculation:
Its density of states at the Fermi level is 2.62 states/eV per cell. The calculation puts the calculated total energy at -0.4792 Ry/atom. The value obtained for the density is 5.72 g/cm³. As for the spin magnetization: 0.00 Bohr magnetons per cell.

POSCAR file:
```
Tm2IO6
1.0
1.718 4.672 3.363
-0.279 -0.348 5.991
5.342 -0.432 3.236
Tm I O
2 1 6
direct
0.198 0.198 0.405
0.802 0.802 0.595
0.000 0.000 0.000
0.890 0.991 0.749
0.991 0.370 0.749
0.370 0.890 0.749
0.110 0.009 0.251
0.009 0.630 0.251
0.630 0.110 0.251
```

(5)
Entry from the Alexandria database: a relaxed TmIO crystal (PBE).

Values from the calculation:
Its density of states at the Fermi level is 0.00 states/eV per cell. The calculation puts the calculated total energy at -0.4673 Ry/atom. The value obtained for the density is 5.98 g/cm³. As for the spin magnetization: 0.00 Bohr magnetons per cell.

POSCAR file:
```
TmIO
1.0
3.903 0.000 0.000
0.000 4.150 0.000
0.000 0.000 10.697
Tm I O
2 2 2
direct
0.500 0.000 0.592
0.000 0.500 0.408
0.500 0.500 0.193
0.000 0.000 0.807
0.000 0.000 0.482
0.500 0.500 0.518
```